## one
Here is a relaxed CuRe2Rh crystal from Alexandria. Energies are from PBE.

extended XYZ file:
```
4
Lattice="2.754 0.000 0.000 0.000 2.754 0.000 0.000 0.000 7.449" Properties=species:S:1:pos:R:3 pbc="T T T"
Cu 0.000 0.000 0.000
Re 0.000 0.000 3.780
Re 1.377 1.377 1.824
Rh 1.377 1.377 5.630
```

- SG: P4mm, No. 99
- Total magnetization: 0.000 Bohr magnetons per cell
- N(E_F): 3.78 states/eV/cell
- Calculated density: 15.842 g cm⁻³
- V: 14.1 Å³ per atom

=====

## two
Here is a relaxed CuRe2Rh crystal from Alexandria. Energies are from PBE.

extended XYZ file:
```
8
Lattice="9.154 0.000 0.000 0.000 2.728 0.000 -0.794 0.000 4.558" Properties=species:S:1:pos:R:3 pbc="T T T"
Cu 0.000 0.000 0.000
Cu 4.577 1.364 0.000
Re 1.645 0.000 3.413
Re 2.138 1.364 1.145
Re 6.222 1.364 3.413
Re 6.715 0.000 1.145
Rh -0.397 1.364 2.279
Rh 4.180 0.000 2.279
```

- SG: C2/m, No. 12
- Total magnetization: 0.000 Bohr magnetons per cell
- N(E_F): 7.67 states/eV/cell
- Calculated density: 15.726 g cm⁻³
- V: 14.2 Å³ per atom

=====

Bottom line: one, by a margin of 44 meV/atom.

=====

## one
Here is a relaxed CuRe2Rh crystal from Alexandria. Energies are from PBE.

extended XYZ file:
```
8
Lattice="3.708 0.000 0.000 0.000 3.708 0.000 0.000 0.000 8.206" Properties=species:S:1:pos:R:3 pbc="T T T"
Cu 0.000 0.000 0.000
Cu 1.854 1.854 4.103
Re 0.000 1.854 2.052
Re 0.000 1.854 6.155
Re 1.854 0.000 2.052
Re 1.854 0.000 6.155
Rh 0.000 0.000 4.103
Rh 1.854 1.854 0.000
```

- SG: I4/mmm, No. 139
- Total magnetization: 0.000 Bohr magnetons per cell
- N(E_F): 7.05 states/eV/cell
- Calculated density: 15.865 g cm⁻³
- V: 14.1 Å³ per atom

=====

## two
Here is a relaxed CuRe2Rh crystal from Alexandria. Energies are from PBE.

extended XYZ file:
```
4
Lattice="2.692 0.000 0.000 0.000 3.907 0.000 0.000 0.000 5.374" Properties=species:S:1:pos:R:3 pbc="T T T"
Cu 0.000 0.000 0.000
Re 0.000 0.000 2.680
Re 1.346 1.953 1.347
Rh 1.346 1.953 4.118
```

- SG: Pmm2, No. 25
- Total magnetization: 0.000 Bohr magnetons per cell
- N(E_F): 3.10 states/eV/cell
- Calculated density: 15.835 g cm⁻³
- V: 14.1 Å³ per atom

=====

## three
Here is a relaxed CuRe2Rh crystal from Alexandria. Energies are from PBE.

extended XYZ file:
```
8
Lattice="2.852 0.000 0.000 0.000 4.530 0.000 0.000 0.000 8.987" Properties=species:S:1:pos:R:3 pbc="T T T"
Cu 0.000 0.000 0.000
Cu 1.426 2.265 0.000
Re 0.000 0.000 4.499
Re 0.000 2.265 2.241
Re 1.426 0.000 2.241
Re 1.426 2.265 4.499
Rh 0.000 2.265 6.782
Rh 1.426 0.000 6.782
```

- SG: Cmm2, No. 35
- Total magnetization: 0.000 Bohr magnetons per cell
- N(E_F): 5.19 states/eV/cell
- Calculated density: 15.412 g cm⁻³
- V: 14.5 Å³ per atom

=====

Bottom line: two, by a margin of 86 meV/atom.

=====

## one
Here is a relaxed CuReRh crystal from Alexandria. Energies are from PBE.

extended XYZ file:
```
6
Lattice="2.744 0.000 0.000 0.000 2.744 0.000 0.000 0.000 10.988" Properties=species:S:1:pos:R:3 pbc="T T T"
Cu 0.000 0.000 0.000
Cu 1.372 1.372 5.494
Re 0.000 0.000 3.664
Re 1.372 1.372 9.158
Rh 0.000 0.000 7.345
Rh 1.372 1.372 1.851
```

- SG: I4mm, No. 107
- Total magnetization: 0.000 Bohr magnetons per cell
- N(E_F): 4.40 states/eV/cell
- Calculated density: 14.161 g cm⁻³
- V: 13.8 Å³ per atom

=====

## two
Here is a relaxed CuReRh crystal from Alexandria. Energies are from PBE.

extended XYZ file:
```
12
Lattice="5.799 0.000 0.000 0.000 5.799 0.000 0.000 0.000 5.799" Properties=species:S:1:pos:R:3 pbc="T T T"
Cu 0.000 0.000 0.000
Cu 0.000 2.900 2.900
Cu 2.900 0.000 2.900
Cu 2.900 2.900 0.000
Re 0.000 0.000 2.900
Re 0.000 2.900 0.000
Re 2.900 0.000 0.000
Re 2.900 2.900 2.900
Rh 1.450 1.450 4.349
Rh 1.450 4.349 1.450
Rh 4.349 1.450 1.450
Rh 4.349 4.349 4.349
```

- SG: F-43m, No. 216
- Total magnetization: 0.001 Bohr magnetons per cell
- N(E_F): 27.24 states/eV/cell
- Calculated density: 12.011 g cm⁻³
- V: 16.3 Å³ per atom

=====

Bottom line: one, by a margin of 541 meV/atom.

=====

## one
Here is a relaxed CuReRh crystal from Alexandria. Energies are from PBE.

extended XYZ file:
```
12
Lattice="2.761 0.000 0.000 0.000 4.574 0.000 0.000 0.000 13.528" Properties=species:S:1:pos:R:3 pbc="T T T"
Cu 0.000 0.000 0.000
Cu 0.000 2.287 6.764
Cu 1.381 0.000 6.764
Cu 1.381 2.287 0.000
Re 0.000 0.000 9.018
Re 0.000 2.287 2.254
Re 1.381 0.000 2.254
Re 1.381 2.287 9.018
Rh 0.000 0.000 4.499
Rh 0.000 2.287 11.263
Rh 1.381 0.000 11.263
Rh 1.381 2.287 4.499
```

- SG: Fmm2, No. 42
- Total magnetization: 0.000 Bohr magnetons per cell
- N(E_F): 8.18 states/eV/cell
- Calculated density: 13.712 g cm⁻³
- V: 14.2 Å³ per atom

=====

## two
Here is a relaxed CuReRh crystal from Alexandria. Energies are from PBE.

extended XYZ file:
```
3
Lattice="2.713 0.000 0.000 -1.357 2.350 0.000 0.000 0.000 6.578" Properties=species:S:1:pos:R:3 pbc="T T T"
Cu 0.000 0.000 0.000
Re 1.357 0.783 2.199
Rh 0.000 1.567 4.367
```

- SG: P3m1, No. 156
- Total magnetization: 0.000 Bohr magnetons per cell
- N(E_F): 2.55 states/eV/cell
- Calculated density: 13.961 g cm⁻³
- V: 14.0 Å³ per atom

=====

Bottom line: two, by a margin of 165 meV/atom.

=====

## one
Here is a relaxed CuReRu crystal from Alexandria. Energies are from PBE.

extended XYZ file:
```
12
Lattice="5.806 0.000 0.000 0.000 5.806 0.000 0.000 0.000 5.806" Properties=species:S:1:pos:R:3 pbc="T T T"
Cu 0.000 0.000 0.000
Cu 0.000 2.903 2.903
Cu 2.903 0.000 2.903
Cu 2.903 2.903 0.000
Re 0.000 0.000 2.903
Re 0.000 2.903 0.000
Re 2.903 0.000 0.000
Re 2.903 2.903 2.903
Ru 1.452 1.452 4.355
Ru 1.452 4.355 1.452
Ru 4.355 1.452 1.452
Ru 4.355 4.355 4.355
```

- SG: F-43m, No. 216
- Total magnetization: 0.000 Bohr magnetons per cell
- N(E_F): 16.31 states/eV/cell
- Calculated density: 11.903 g cm⁻³
- V: 16.3 Å³ per atom

=====

## two
Here is a relaxed CuReRu crystal from Alexandria. Energies are from PBE.

extended XYZ file:
```
6
Lattice="2.810 0.000 0.000 0.000 2.810 0.000 0.000 0.000 10.520" Properties=species:S:1:pos:R:3 pbc="T T T"
Cu 0.000 0.000 0.000
Cu 1.405 1.405 5.260
Re 0.000 0.000 7.052
Re 1.405 1.405 1.792
Ru 0.000 0.000 3.473
Ru 1.405 1.405 8.733
```

- SG: I4mm, No. 107
- Total magnetization: 0.000 Bohr magnetons per cell
- N(E_F): 5.40 states/eV/cell
- Calculated density: 14.023 g cm⁻³
- V: 13.8 Å³ per atom

=====

Bottom line: two, by a margin of 497 meV/atom.

=====

## one
Here is a relaxed CuRe2Ru crystal from Alexandria. Energies are from PBE.

extended XYZ file:
```
4
Lattice="3.102 0.000 0.000 0.000 3.102 0.000 0.000 0.000 5.859" Properties=species:S:1:pos:R:3 pbc="T T T"
Cu 0.000 0.000 0.000
Re 0.000 0.000 2.876
Re 1.551 1.551 1.403
Ru 1.551 1.551 4.525
```

- SG: P4mm, No. 99
- Total magnetization: 0.000 Bohr magnetons per cell
- N(E_F): 4.01 states/eV/cell
- Calculated density: 15.815 g cm⁻³
- V: 14.1 Å³ per atom

=====

## two
Here is a relaxed CuRe2Ru crystal from Alexandria. Energies are from PBE.

extended XYZ file:
```
4
Lattice="4.571 0.000 0.000 0.000 4.571 0.000 0.000 0.000 2.729" Properties=species:S:1:pos:R:3 pbc="T T T"
Cu 0.000 0.000 0.000
Re 0.000 2.286 1.364
Re 2.286 0.000 1.364
Ru 2.286 2.286 0.000
```

- SG: P4/mmm, No. 123
- Total magnetization: 0.000 Bohr magnetons per cell
- N(E_F): 4.65 states/eV/cell
- Calculated density: 15.640 g cm⁻³
- V: 14.3 Å³ per atom

=====

Bottom line: one, by a margin of 217 meV/atom.